No. 1
The following is a DFT calculation (GGA-PBE) of a relaxed structure of FeNiP4.

a = 4.793 Å, b = 2.974 Å, c = 5.577 Å
α = 90.00°, β = 90.11°, γ = 90.00°
Positions (direct):
Fe 0.000 0.000 0.000
Ni 0.500 0.500 0.500
P 0.173 0.000 0.368
P 0.320 0.500 0.875
P 0.680 0.500 0.125
P 0.827 0.000 0.632

## Properties
- Space-group type: P2/m, No. 10
- E: -6.350 eV per atom

---

No. 2
The following is a DFT calculation (GGA-PBE) of a relaxed structure of Fe2NiP.

a = 6.702 Å, b = 6.702 Å, c = 6.702 Å
α = 96.11°, β = 96.11°, γ = 141.93°
Positions (direct):
Fe 0.057 0.373 0.471
Fe 0.095 0.204 0.831
Fe 0.372 0.263 0.169
Fe 0.414 0.943 0.315
Fe 0.627 0.099 0.685
Fe 0.737 0.905 0.109
Fe 0.796 0.628 0.891
Fe 0.901 0.586 0.529
Ni 0.220 0.676 0.893
Ni 0.324 0.217 0.545
Ni 0.673 0.780 0.455
Ni 0.783 0.327 0.107
P 0.220 0.472 0.164
P 0.308 0.056 0.836
P 0.528 0.692 0.748
P 0.944 0.780 0.252

## Properties
- Space-group type: I-4, No. 82
- E: -7.290 eV per atom

---

No. 3
The following is a DFT calculation (GGA-PBE) of a relaxed structure of FeNiP2.

a = 5.194 Å, b = 3.231 Å, c = 10.996 Å
α = 90.00°, β = 90.00°, γ = 90.00°
Positions (direct):
Fe 0.001 0.250 0.160
Fe 0.499 0.750 0.660
Fe 0.501 0.250 0.340
Fe 0.999 0.750 0.840
Ni 0.003 0.250 0.409
Ni 0.497 0.750 0.909
Ni 0.503 0.250 0.091
Ni 0.997 0.750 0.591
P 0.176 0.250 0.708
P 0.177 0.250 0.961
P 0.323 0.750 0.461
P 0.324 0.750 0.208
P 0.676 0.250 0.792
P 0.677 0.250 0.539
P 0.823 0.750 0.039
P 0.824 0.750 0.292

## Properties
- Space-group type: Pnma, No. 62
- E: -6.461 eV per atom

---

> E of number 1 (FeNiP4)?

-6.350 eV per atom